1.
Here is an optimized crystal structure of NbSb2TeIr from the Alexandria database. Energies are from PBE.

Energy relative to the lowest polymorph listed for this composition ... 0 meV/atom
DOS at the Fermi energy ... 5.094 states/eV/cell
Formation energy from raw total energies ... 895 meV per atom
Crystal system ... tetragonal
Magnetization ... 2.88 μB/cell

Cell: 5.0395 5.0395 5.5024 Å, 90.00 90.00 90.00°
Space group P4/mmm (No. 123)
Inequivalent atoms, fractional coordinates:
Nb 0.0000 0.0000 0.0000 (multiplicity 1)
Sb 0.0000 0.5000 0.5000 (multiplicity 2)
Te 0.5000 0.5000 0.0000 (multiplicity 1)
Ir 0.5000 0.5000 0.5000 (multiplicity 1)

***

2.
Here is an optimized crystal structure of Sm2CdS from the Alexandria database. Energies are from PBE.

Energy relative to the lowest polymorph listed for this composition ... 0 meV/atom
DOS at the Fermi energy ... 5.634 states/eV/cell
Formation energy from raw total energies ... -1107 meV per atom
Crystal system ... trigonal
Magnetization ... 0.00 μB/cell

Cell: 3.9737 3.9737 23.3551 Å, 90.00 90.00 120.00°
Space group R-3m (No. 166, hexagonal axes)
Inequivalent atoms, fractional coordinates:
Sm 0.0000 0.0000 0.2359 (multiplicity 6)
Cd 0.0000 0.0000 0.0000 (multiplicity 3)
S 0.0000 0.0000 0.5000 (multiplicity 3)

***

3.
Here is an optimized crystal structure of CsSnOs3 from the Alexandria database. Energies are from PBE.

DOS at the Fermi energy ... 9.494 states/eV/cell
Energy relative to the elements ... 1792 kJ/mol of formula units
Crystal system ... cubic
Magnetization ... 4.19 μB/cell

Cell: 5.0165 5.0165 5.0165 Å, 90.00 90.00 90.00°
Space group Pm-3m (No. 221)
Inequivalent atoms, fractional coordinates:
Cs 0.0000 0.0000 0.0000 (multiplicity 1)
Sn 0.5000 0.5000 0.5000 (multiplicity 1)
Os 0.0000 0.0000 0.5000 (multiplicity 3)

***

4.
Here is an optimized crystal structure of La11Pm9Th4 from the Alexandria database. Energies are from PBE.

DOS at the Fermi energy ... 76.146 states/eV/cell
Energy relative to the elements ... 221 kJ/mol of formula units
Crystal system ... orthorhombic
Magnetization ... 0.00 μB/cell

Cell: 17.5190 26.3850 3.7268 Å, 90.00 90.00 90.00°
Space group Cmmm (No. 65)
Inequivalent atoms, fractional coordinates:
La 0.0000 0.0000 0.0000 (multiplicity 2)
La 0.0000 0.1573 0.0000 (multiplicity 4)
La 0.0000 0.3696 0.0000 (multiplicity 4)
La 0.2043 0.5000 0.0000 (multiplicity 4)
La 0.2281 0.1807 0.0000 (multiplicity 8)
Pm 0.0000 0.5000 0.5000 (multiplicity 2)
Pm 0.1014 0.2645 0.5000 (multiplicity 8)
Pm 0.1395 0.0728 0.5000 (multiplicity 8)
Th 0.1571 0.3976 0.5000 (multiplicity 8)